# 1
# Ba7Na2N2, optimized geometry, DFT PBE-GGA
# total magnetic moment = 0.2 μB/f.u.
# electronic total energy = -69.3 eV per cell
# E_form (uncorrected) = -171 meV/atom
data_Ba7Na2N2
_chemical_formula_sum 'Ba14 Na4 N4'
_cell_length_a 10.647
_cell_length_b 13.468
_cell_length_c 8.050
_cell_angle_alpha 90.00
_cell_angle_beta 98.43
_cell_angle_gamma 90.00
_space_group_name_H-M_alt 'C 1 2/m 1'
_space_group_IT_number 12
loop_
_space_group_symop_operation_xyz
'x,y,z'
'-x,-y,-z'
'-x,y,-z'
'x,-y,z'
'x+1/2,y+1/2,z'
'-x+1/2,-y+1/2,-z'
'-x+1/2,y+1/2,-z'
'x+1/2,-y+1/2,z'
loop_
_atom_site_label
_atom_site_type_symbol
_atom_site_fract_x
_atom_site_fract_y
_atom_site_fract_z
_atom_site_occupancy
Ba1 Ba 0.000 0.000 0.000 1
Ba2 Ba 0.168 0.500 0.201 1
Ba3 Ba 0.194 0.345 0.754 1
Na1 Na 0.000 0.124 0.500 1
N1 N 0.240 0.500 0.920 1

***

# 2
# PrEr2Tl2, optimized geometry, DFT PBE-GGA
# total magnetic moment = 0.0 μB/f.u.
# electronic total energy = -40.0 eV per cell
# energy of formation = -0.268 eV per atom
data_PrEr2Tl2
_chemical_formula_sum 'Pr2 Er4 Tl4'
_cell_length_a 3.789
_cell_length_b 5.481
_cell_length_c 14.190
_cell_angle_alpha 90.00
_cell_angle_beta 97.69
_cell_angle_gamma 90.00
_space_group_name_H-M_alt 'P 1 21/m 1'
_space_group_IT_number 11
loop_
_space_group_symop_operation_xyz
'x,y,z'
'-x,-y,-z'
'-x,y+1/2,-z'
'x,-y+1/2,z'
loop_
_atom_site_label
_atom_site_type_symbol
_atom_site_fract_x
_atom_site_fract_y
_atom_site_fract_z
_atom_site_occupancy
Pr1 Pr 0.147 0.250 0.296 1
Er1 Er 0.049 0.750 0.100 1
Er2 Er 0.237 0.750 0.474 1
Tl1 Tl 0.356 0.250 0.711 1
Tl2 Tl 0.454 0.750 0.909 1